Entry from Alexandria via LeMat-Bulk: an optimized crystal structure of Tc5As (PBEsol).

a = 4.3744 Å, b = 4.6996 Å, c = 4.6996 Å
α = 120.00°, β = 90.00°, γ = 90.00°
Atoms (fractional coordinates):
As 0.5000 0.0000 0.0000
Tc 0.0000 0.3297 0.3297
Tc 0.0000 0.6703 0.0000
Tc 0.0000 0.0000 0.6703
Tc 0.5000 0.3333 0.6667
Tc 0.5000 0.6667 0.3333

Output
- formation energy from the elements (meV/atom) = 30
- space-group type = P-62m, No. 189
- E (eV/atom) = -10.210